Density functional theory data (PBE-GGA) for an optimized crystal structure of LaTh2Re.

Geometry as POSCAR:
```
LaTh2Re
1.0
1.9888 1.1483 10.3448
-1.9888 1.1483 10.3448
0.0000 -2.2965 10.3448
La Th Re
1 2 1
Direct
0.0000 0.0000 0.0000
0.1148 0.1148 0.1148
0.8852 0.8852 0.8852
0.5000 0.5000 0.5000
```

**E above lowest polymorph**: 305 meV/atom
**Size of the total moment**: 0.000 μB/atom

Density functional theory data (PBE-GGA) for an optimized crystal structure of Ce6GeC2Cl3.

Geometry as POSCAR:
```
Ce6GeC2Cl3
1.0
8.9296 -1.9211 0.0000
8.9296 1.9211 0.0000
-2.5333 0.0000 7.9573
Ce Ge C Cl
6 1 2 3
Direct
0.0234 0.0234 0.2644
0.3208 0.3208 0.4436
0.3295 0.3295 0.8653
0.6705 0.6705 0.1347
0.6792 0.6792 0.5564
0.9766 0.9766 0.7356
0.5000 0.5000 0.0000
0.1723 0.1723 0.3400
0.8277 0.8277 0.6600
0.1600 0.1600 0.8329
0.5000 0.5000 0.5000
0.8400 0.8400 0.1671
```

**ΔE_f (raw)**: -0.989 eV per atom
**Size of the total moment**: 0.352 μB/atom

Density functional theory data (PBE-GGA) for an optimized crystal structure of K2CuAu.

Geometry as POSCAR:
```
K2CuAu
1.0
-4.3532 4.3532 4.1019
4.3532 -4.3532 4.1019
4.3532 4.3532 -4.1019
K Cu Au
4 2 2
Direct
0.1235 0.1250 0.4985
0.3750 0.8765 0.0015
0.6265 0.6250 0.5015
0.8750 0.3735 0.9985
0.0000 0.0000 0.0000
0.7500 0.2500 0.5000
0.2500 0.7500 0.5000
0.5000 0.5000 0.0000
```

**E above lowest polymorph**: 277 meV/atom
**Size of the total moment**: 0.000 μB/atom

Density functional theory data (PBE-GGA) for an optimized crystal structure of AcNbSb2.

Geometry as POSCAR:
```
AcNbSb2
1.0
1.6928 0.9773 11.4259
-1.6928 0.9773 11.4259
0.0000 -1.9547 11.4259
Ac Nb Sb
1 1 2
Direct
0.0000 0.0000 0.0000
0.5000 0.5000 0.5000
0.4178 0.4178 0.4178
0.5822 0.5822 0.5822
```

**E above lowest polymorph**: 788 meV/atom
**ΔE_f (raw)**: 0.399 eV per atom
**Size of the total moment**: 0.000 μB/atom